# PBE-GGA Sr2PaBe2O6, optimized geometry
data_Sr2PaBe2O6
_cell_length_a 9.5851
_cell_length_b 5.6005
_cell_length_c 6.5021
_cell_angle_alpha 90.00
_cell_angle_beta 119.31
_cell_angle_gamma 90.00
_space_group_name_H-M_alt 'C 1 2/m 1'
_space_group_IT_number 12
_space_group_name_Hall '-C 2y'
loop_
_atom_site_label
_atom_site_type_symbol
_atom_site_fract_x
_atom_site_fract_y
_atom_site_fract_z
Sr1 Sr 0.2079 0.0000 0.1715
Pa1 Pa 0.0000 0.0000 0.5000
Be1 Be 0.0524 0.5000 0.2513
O1 O 0.0452 0.2635 0.7942
O2 O 0.2368 0.5000 0.3729
# Energy, eV per cell: -164.22
# Crystal system: monoclinic
# Formation energy without anion corrections, eV/atom: -2.91
# ρ, g/cm³: 5.7

=====

# PBE-GGA Li2CoNi6, optimized geometry
data_Li2CoNi6
_cell_length_a 7.4346
_cell_length_b 7.4346
_cell_length_c 3.5433
_cell_angle_alpha 90.00
_cell_angle_beta 90.00
_cell_angle_gamma 90.00
_space_group_name_H-M_alt 'P 42/m n m'
_space_group_IT_number 136
_space_group_name_Hall '-P 4n 2n'
loop_
_atom_site_label
_atom_site_type_symbol
_atom_site_fract_x
_atom_site_fract_y
_atom_site_fract_z
Li1 Li 0.1734 0.1734 0.0000
Co1 Co 0.0000 0.0000 0.5000
Ni1 Ni 0.0048 0.3335 0.5000
Ni2 Ni 0.1587 0.8413 0.0000
# Energy, eV per cell: -90.33
# Crystal system: tetragonal
# Formation energy from the elements, meV per atom: 51
# ρ, g/cm³: 7.2